Record 1
A geometry-optimized Rb3Ag2Sn9 structure. Source: Alexandria via LeMat-Bulk, functional PBE.

Lattice parameters (Å, degrees): 9.840 9.840 9.840 151.62 97.47 89.43
Positions (direct):
Rb (0.000, 0.000, 0.000)
Rb (0.263, 0.263, 0.000)
Rb (0.737, 0.737, 0.000)
Ag (0.376, 0.500, 0.876)
Ag (0.624, 0.500, 0.124)
Sn (0.065, 0.385, 0.679)
Sn (0.157, 0.848, 0.308)
Sn (0.294, 0.615, 0.679)
Sn (0.460, 0.152, 0.308)
Sn (0.500, 0.000, 0.500)
Sn (0.540, 0.848, 0.692)
Sn (0.706, 0.385, 0.321)
Sn (0.843, 0.152, 0.692)
Sn (0.935, 0.615, 0.321)

Offset from the most stable computed form (meV/atom): 0
E_form (kcal/mol of atoms): -2.6



Record 2
A geometry-optimized RbAgSn4 structure. Source: Alexandria via LeMat-Bulk, functional PBE.

Lattice parameters (Å, degrees): 7.134 7.134 9.598 114.23 114.23 58.92
Positions (direct):
Rb (0.191, 0.191, 0.301)
Rb (0.809, 0.809, 0.699)
Ag (0.449, 0.449, 0.710)
Ag (0.551, 0.551, 0.290)
Sn (0.098, 0.666, 0.099)
Sn (0.217, 0.217, 0.704)
Sn (0.257, 0.743, 0.500)
Sn (0.334, 0.902, 0.901)
Sn (0.666, 0.098, 0.099)
Sn (0.743, 0.257, 0.500)
Sn (0.783, 0.783, 0.296)
Sn (0.902, 0.334, 0.901)

E_form (kcal/mol of atoms): -2.0



Size of the total moment / μB/atom: 0.000; 0.000